# Ta2BiSe (GGA-PBE, optimized geometry)
# V ... 87.8 Å³/f.u.
# Final energy ... -7.130 eV/atom
data_Ta2BiSe
_chemical_formula_sum 'Ta8 Bi4 Se4'
_space_group_name_H-M_alt 'I -4 2 d'
_space_group_IT_number 122
_space_group_name_Hall 'I -4 2bw'
_cell_length_a 4.2515
_cell_length_b 4.2515
_cell_length_c 19.4206
_cell_angle_alpha 90.00
_cell_angle_beta 90.00
_cell_angle_gamma 90.00
loop_
_atom_site_label
_atom_site_fract_x
_atom_site_fract_y
_atom_site_fract_z
Ta1 0.2245 0.2500 0.1250
Bi1 0.0000 0.0000 0.5000
Se1 0.0000 0.0000 0.0000

=====

# TaBi3Se (GGA-PBE, optimized geometry)
# V ... 161.6 Å³/f.u.
# Final energy ... -4.136 eV/atom
data_TaBi3Se
_chemical_formula_sum 'Ta1 Bi3 Se1'
_space_group_name_H-M_alt 'P m -3 m'
_space_group_IT_number 221
_space_group_name_Hall '-P 4 2 3'
_cell_length_a 5.4463
_cell_length_b 5.4463
_cell_length_c 5.4463
_cell_angle_alpha 90.00
_cell_angle_beta 90.00
_cell_angle_gamma 90.00
loop_
_atom_site_label
_atom_site_fract_x
_atom_site_fract_y
_atom_site_fract_z
Ta1 0.0000 0.0000 0.0000
Bi1 0.0000 0.5000 0.5000
Se1 0.5000 0.5000 0.5000

=====

# Ta2Bi2Se (GGA-PBE, optimized geometry)
# V ... 126.6 Å³/f.u.
# Final energy ... -6.441 eV/atom
data_Ta2Bi2Se
_chemical_formula_sum 'Ta4 Bi4 Se2'
_space_group_name_H-M_alt 'I 4/m m m'
_space_group_IT_number 139
_space_group_name_Hall '-I 4 2'
_cell_length_a 3.7998
_cell_length_b 3.7998
_cell_length_c 17.5393
_cell_angle_alpha 90.00
_cell_angle_beta 90.00
_cell_angle_gamma 90.00
loop_
_atom_site_label
_atom_site_fract_x
_atom_site_fract_y
_atom_site_fract_z
Ta1 0.0000 0.5000 0.2500
Bi1 0.0000 0.0000 0.1067
Se1 0.0000 0.0000 0.5000

=====

# Ta2BiSe6 (GGA-PBE, optimized geometry)
# V ... 246.3 Å³/f.u.
# Final energy ... -5.866 eV/atom
data_Ta2BiSe6
_chemical_formula_sum 'Ta4 Bi2 Se12'
_space_group_name_H-M_alt 'C 1 2/m 1'
_space_group_IT_number 12
_space_group_name_Hall '-C 2y'
_cell_length_a 12.1966
_cell_length_b 5.0491
_cell_length_c 8.8721
_cell_angle_alpha 90.00
_cell_angle_beta 115.65
_cell_angle_gamma 90.00
loop_
_atom_site_label
_atom_site_fract_x
_atom_site_fract_y
_atom_site_fract_z
Ta1 0.1929 0.0000 0.0752
Bi1 0.0000 0.0000 0.5000
Se1 0.0148 0.0000 0.1804
Se2 0.1542 0.5000 0.6174
Se3 0.1954 0.5000 0.1116

=====

Calculated E_form (uncorrected) in order - 0.6373; 1.2600; 0.5498; -0.4773 eV/atom